Material: Cs2SbPt
Method: DFT, GGA-PBEsol
State: optimized geometry

Summary:
Raw formation energy (eV per atom): -0.23
Space group: No. 122
Density of states at the Fermi level (states/eV per atom): 0.466
Theoretical density (Mg/m³): 4.741

Lattice parameters (Å, degrees): 4.974 9.393 9.393 85.98 74.65 74.65
Element x y z (fractional)
Cs (0.375, 0.663, 0.837)
Sb (0.250, 0.500, 0.500)
Sb (0.500, 0.000, 0.000)
Cs (0.788, 0.837, 0.337)
Cs (0.962, 0.163, 0.663)
Pt (0.750, 0.500, 0.500)
Cs (0.875, 0.337, 0.163)
Pt (0.000, 0.000, 0.000)

Material: FeP2BrO
Method: DFT, GGA-PBEsol
State: optimized geometry

Summary:
Raw formation energy (eV per atom): 0.08
Space group: No. 123
Density of states at the Fermi level (states/eV per atom): 0.787
Theoretical density (Mg/m³): 4.840

Lattice parameters (Å, degrees): 3.449 4.611 4.611 90.00 90.00 90.00
Element x y z (fractional)
O (0.500, 0.000, 0.000)
Fe (0.000, 0.000, 0.000)
P (0.000, 0.500, 0.000)
P (0.000, 0.000, 0.500)
Br (0.500, 0.500, 0.500)

Material: CoRh3Pb
Method: DFT, GGA-PBEsol
State: optimized geometry

Summary:
Space group: No. 221
Density of states at the Fermi level (states/eV per atom): 0.814
Theoretical density (Mg/m³): 10.936
Formation energy (meV/atom): 830

Lattice parameters (Å, degrees): 4.436 4.436 4.436 90.00 90.00 90.00
Element x y z (fractional)
Rh (0.000, 0.500, 0.000)
Co (0.000, 0.000, 0.000)
Rh (0.000, 0.000, 0.500)
Pb (0.500, 0.500, 0.500)
Rh (0.500, 0.000, 0.000)

Material: In2ReTc
Method: DFT, GGA-PBEsol
State: optimized geometry

Summary:
E above lowest polymorph (meV/atom): 454
Space group: No. 65
Density of states at the Fermi level (states/eV per atom): 1.029
Theoretical density (Mg/m³): 12.502
Formation energy (meV/atom): 621

Lattice parameters (Å, degrees): 2.864 2.864 9.080 90.00 90.00 113.60
Element x y z (fractional)
Tc (0.500, 0.500, 0.000)
Re (0.500, 0.500, 0.500)
In (0.000, 0.000, 0.754)
In (0.000, 0.000, 0.246)

Material: ZnSb2Ir
Method: DFT, GGA-PBEsol
State: optimized geometry

Summary:
E above lowest polymorph (meV/atom): 43
Raw formation energy (eV per atom): 0.17
Space group: No. 160
Density of states at the Fermi level (states/eV per atom): 0.701
Theoretical density (Mg/m³): 10.274

Lattice parameters (Å, degrees): 3.157 3.157 9.557 80.49 80.49 60.00
Element x y z (fractional)
Sb (0.982, 0.982, 0.055)
Ir (0.245, 0.245, 0.264)
Sb (0.761, 0.761, 0.717)
Zn (0.512, 0.512, 0.464)

Material: Sr2ScP
Method: DFT, GGA-PBEsol
State: optimized geometry

Summary:
Space group: No. 99
Density of states at the Fermi level (states/eV per atom): 1.152
Theoretical density (Mg/m³): 3.457
Formation energy (meV/atom): -497

Lattice parameters (Å, degrees): 3.630 3.630 9.158 90.00 90.00 90.00
Element x y z (fractional)
P (0.000, 0.000, 0.572)
Sr (0.500, 0.500, 0.321)
Sc (0.500, 0.500, 0.657)
Sr (0.000, 0.000, 0.950)

Material: AgMoIr
Method: DFT, GGA-PBEsol
State: optimized geometry

Summary:
Space group: No. 216
Density of states at the Fermi level (states/eV per atom): 1.888
Theoretical density (Mg/m³): 12.479
Formation energy (meV/atom): 1352

Lattice parameters (Å, degrees): 4.208 4.208 4.208 60.00 60.00 60.00
Element x y z (fractional)
Mo (0.500, 0.500, 0.500)
Ir (0.000, 0.000, 0.000)
Ag (0.250, 0.250, 0.250)

Material: Be3Cu4
Method: DFT, GGA-PBEsol
State: optimized geometry

Summary:
E above lowest polymorph (meV/atom): 50
Space group: No. 191
Density of states at the Fermi level (states/eV per atom): 0.391
Theoretical density (Mg/m³): 6.781
Formation energy (meV/atom): -18

Lattice parameters (Å, degrees): 4.219 4.219 4.468 90.00 90.00 120.00
Element x y z (fractional)
Be (0.500, 0.500, 0.000)
Be (0.500, 0.000, 0.000)
Cu (0.667, 0.333, 0.500)
Cu (0.000, 0.000, 0.748)
Be (0.000, 0.500, 0.000)
Cu (0.000, 0.000, 0.252)
Cu (0.333, 0.667, 0.500)

Material: YCo4Si
Method: DFT, GGA-PBEsol
State: optimized geometry

Summary:
Raw formation energy (eV per atom): -0.14
Space group: No. 216
Density of states at the Fermi level (states/eV per atom): 1.430
Theoretical density (Mg/m³): 7.629

Lattice parameters (Å, degrees): 4.771 4.771 4.771 60.00 60.00 60.00
Element x y z (fractional)
Si (0.750, 0.750, 0.750)
Y (0.000, 0.000, 0.000)
Co (0.376, 0.376, 0.376)
Co (0.376, 0.376, 0.871)
Co (0.871, 0.376, 0.376)
Co (0.376, 0.871, 0.376)

Material: KOs2I
Method: DFT, GGA-PBEsol
State: optimized geometry

Summary:
Raw formation energy (eV per atom): 2.01
Space group: No. 225
Density of states at the Fermi level (states/eV per atom): 0.417
Theoretical density (Mg/m³): 12.706

Lattice parameters (Å, degrees): 4.657 4.657 4.657 60.00 60.00 60.00
Element x y z (fractional)
Os (0.250, 0.250, 0.250)
I (0.500, 0.500, 0.500)
K (0.000, 0.000, 0.000)
Os (0.750, 0.750, 0.750)

Material: CsTi3Hg
Method: DFT, GGA-PBEsol
State: optimized geometry

Summary:
Space group: No. 221
Density of states at the Fermi level (states/eV per atom): 1.125
Theoretical density (Mg/m³): 6.790
Formation energy (meV/atom): 1829

Lattice parameters (Å, degrees): 4.887 4.887 4.887 90.00 90.00 90.00
Element x y z (fractional)
Ti (0.500, 0.000, 0.000)
Cs (0.000, 0.000, 0.000)
Hg (0.500, 0.500, 0.500)
Ti (0.000, 0.000, 0.500)
Ti (0.000, 0.500, 0.000)

Material: La2Ni
Method: DFT, GGA-PBEsol
State: optimized geometry

Summary:
Space group: No. 189
Density of states at the Fermi level (states/eV per atom): 1.255
Theoretical density (Mg/m³): 7.377
Formation energy (meV/atom): -158

Lattice parameters (Å, degrees): 4.821 7.378 7.378 120.00 90.00 90.00
Element x y z (fractional)
La (0.500, 0.610, 0.000)
La (0.500, 0.390, 0.390)
Ni (0.000, 0.667, 0.333)
La (0.000, 0.719, 0.719)
Ni (0.500, 0.000, 0.000)
La (0.500, 0.000, 0.610)
La (0.000, 0.000, 0.281)
Ni (0.000, 0.333, 0.667)
La (0.000, 0.281, 0.000)

Material: Be2Rh
Method: DFT, GGA-PBEsol
State: optimized geometry

Summary:
Space group: No. 227
Density of states at the Fermi level (states/eV per atom): 0.409
Theoretical density (Mg/m³): 7.124
Formation energy (meV/atom): -472

Lattice parameters (Å, degrees): 4.304 4.304 4.304 60.00 60.00 60.00
Element x y z (fractional)
Be (0.125, 0.125, 0.625)
Rh (0.750, 0.750, 0.750)
Be (0.625, 0.125, 0.125)
Be (0.125, 0.625, 0.125)
Be (0.125, 0.125, 0.125)
Rh (0.500, 0.500, 0.500)

Material: K3Ga
Method: DFT, GGA-PBEsol
State: optimized geometry

Summary:
Space group: No. 225
Density of states at the Fermi level (states/eV per atom): 1.270
Theoretical density (Mg/m³): 1.811
Formation energy (meV/atom): 196

Lattice parameters (Å, degrees): 6.236 6.236 6.236 60.00 60.00 60.00
Element x y z (fractional)
Ga (0.000, 0.000, 0.000)
K (0.750, 0.750, 0.750)
K (0.250, 0.250, 0.250)
K (0.500, 0.500, 0.500)

Material: In4Au9
Method: DFT, GGA-PBEsol
State: optimized geometry

Summary:
Space group: No. 215
Density of states at the Fermi level (states/eV per atom): 0.217
Theoretical density (Mg/m³): 15.575
Formation energy (meV/atom): -145

Lattice parameters (Å, degrees): 9.837 9.837 9.837 90.00 90.00 90.00
Element x y z (fractional)
In (0.126, 0.874, 0.874)
In (0.191, 0.464, 0.809)
Au (0.500, 0.500, 0.859)
Au (0.000, 0.000, 0.360)
Au (0.834, 0.834, 0.834)
Au (0.609, 0.609, 0.609)
In (0.809, 0.464, 0.191)
Au (0.030, 0.316, 0.316)
In (0.464, 0.191, 0.809)
In (0.464, 0.809, 0.191)
Au (0.859, 0.500, 0.500)
Au (0.000, 0.640, 0.000)
Au (0.970, 0.684, 0.316)
Au (0.676, 0.324, 0.676)
Au (0.324, 0.324, 0.324)
In (0.809, 0.191, 0.464)
Au (0.684, 0.316, 0.970)
Au (0.000, 0.000, 0.640)
Au (0.684, 0.970, 0.316)
Au (0.141, 0.500, 0.500)
Au (0.166, 0.166, 0.834)
Au (0.316, 0.316, 0.030)
Au (0.834, 0.166, 0.166)
In (0.874, 0.874, 0.126)
Au (0.684, 0.684, 0.030)
Au (0.316, 0.684, 0.970)
In (0.191, 0.191, 0.536)
Au (0.316, 0.030, 0.316)
Au (0.970, 0.316, 0.684)
Au (0.684, 0.030, 0.684)
Au (0.324, 0.676, 0.676)
Au (0.676, 0.676, 0.324)
In (0.536, 0.191, 0.191)
In (0.809, 0.809, 0.536)
Au (0.000, 0.360, 0.000)
In (0.126, 0.126, 0.126)
In (0.536, 0.809, 0.809)
Au (0.500, 0.500, 0.141)
In (0.191, 0.809, 0.464)
Au (0.391, 0.609, 0.391)
In (0.874, 0.126, 0.874)
Au (0.609, 0.391, 0.391)
Au (0.030, 0.684, 0.684)
Au (0.500, 0.141, 0.500)
Au (0.360, 0.000, 0.000)
Au (0.316, 0.970, 0.684)
Au (0.640, 0.000, 0.000)
Au (0.391, 0.391, 0.609)
In (0.809, 0.536, 0.809)
In (0.191, 0.536, 0.191)
Au (0.500, 0.859, 0.500)
Au (0.166, 0.834, 0.166)

Material: AgPt2
Method: DFT, GGA-PBEsol
State: optimized geometry

Summary:
E above lowest polymorph (meV/atom): 47
Space group: No. 6
Density of states at the Fermi level (states/eV per atom): 1.201
Theoretical density (Mg/m³): 17.945
Formation energy (meV/atom): 43

Lattice parameters (Å, degrees): 3.960 6.210 7.884 108.04 90.00 90.00
Element x y z (fractional)
Pt (0.500, 0.000, 0.748)
Pt (0.000, 0.001, 0.500)
Pt (0.000, 0.672, 0.671)
Pt (0.000, 0.338, 0.343)
Ag (0.500, 0.333, 0.085)
Pt (0.500, 0.333, 0.584)
Ag (0.000, 0.004, 0.003)
Pt (0.000, 0.660, 0.161)
Pt (0.500, 0.663, 0.913)
Ag (0.500, 0.667, 0.415)
Pt (0.000, 0.332, 0.827)
Ag (0.500, 0.998, 0.249)

Material: BeFeNi
Method: DFT, GGA-PBEsol
State: optimized geometry

Summary:
Space group: No. 107
Density of states at the Fermi level (states/eV per atom): 0.338
Theoretical density (Mg/m³): 7.286
Formation energy (meV/atom): -225

Lattice parameters (Å, degrees): 2.475 2.475 4.918 104.57 104.57 90.00
Element x y z (fractional)
Fe (0.658, 0.658, 0.315)
Ni (0.347, 0.347, 0.694)
Be (0.995, 0.995, 0.990)

Material: Er2SbO2
Method: DFT, GGA-PBEsol
State: optimized geometry

Summary:
Raw formation energy (eV per atom): -2.80
Space group: No. 139
Density of states at the Fermi level (states/eV per atom): 0.125
Theoretical density (Mg/m³): 8.790

Lattice parameters (Å, degrees): 3.767 3.766 7.027 105.54 105.55 90.00
Element x y z (fractional)
O (0.735, 0.250, 0.500)
Sb (0.985, 0.000, 0.000)
Er (0.319, 0.334, 0.669)
O (0.235, 0.750, 0.500)
Er (0.651, 0.666, 0.331)

Material: K2SiRu
Method: DFT, GGA-PBEsol
State: optimized geometry

Summary:
Raw formation energy (eV per atom): 0.89
Space group: No. 123
Density of states at the Fermi level (states/eV per atom): 0.804
Theoretical density (Mg/m³): 4.340

Lattice parameters (Å, degrees): 3.797 3.797 5.503 90.00 90.00 90.00
Element x y z (fractional)
K (0.500, 0.000, 0.000)
K (0.000, 0.500, 0.000)
Ru (0.500, 0.500, 0.500)
Si (0.000, 0.000, 0.500)

Material: AlNiSe3
Method: DFT, GGA-PBEsol
State: optimized geometry

Summary:
Raw formation energy (eV per atom): 0.58
Space group: No. 221
Density of states at the Fermi level (states/eV per atom): 1.194
Theoretical density (Mg/m³): 4.946

Lattice parameters (Å, degrees): 4.766 4.766 4.766 90.00 90.00 90.00
Element x y z (fractional)
Se (0.000, 0.000, 0.500)
Ni (0.500, 0.500, 0.500)
Se (0.500, 0.000, 0.000)
Al (0.000, 0.000, 0.000)
Se (0.000, 0.500, 0.000)